Version a
CaMg2Pb | PBE | relaxed

space group = Pm, No. 6

Lattice parameters (Å, degrees): 4.8299 3.6509 6.5048 74.94 90.00 90.00
Fractional positions:
Ca  0.5000  0.7128  0.7145
Mg  0.0000  0.0376  0.0463
Mg  0.5000  0.4420  0.2277
Pb  0.0000  0.3076  0.5114

Version b
CaMg2Pb | PBE | relaxed

space group = P2/m, No. 10

Lattice parameters (Å, degrees): 5.6455 3.4369 5.7519 86.97 90.00 90.00
Fractional positions:
Ca  0.5000  0.7500  0.7500
Mg  0.0000  0.0794  0.0040
Mg  0.0000  0.4206  0.4960
Pb  0.5000  0.2500  0.2500

If you had to name the least stable structure above, which would it be? It would be version b.